A plane-wave DFT calculation with PBE was carried out for crystalline CaLaGa at its relaxed geometry.

Values from the calculation:
Uncorrected energy in eV per atom: -3.5943
ΔH_f (0 K) in eV/atom: -0.2756
N(E_F) in states/eV/cell: 3.7
Energy relative to the lowest polymorph listed for this composition in meV/atom: 168
Total magnetic moment in Bohr magnetons per cell: 0.0

abc: 5.181 5.181 7.569
angles: 90.00 90.00 90.00
Atoms (fractional coordinates):
Ga 0.500 0.500 0.500
Ga 0.000 0.000 0.500
La 0.500 0.000 0.698
La 0.000 0.500 0.302
Ca 0.500 0.000 0.213
Ca 0.000 0.500 0.787



A plane-wave DFT calculation with PBE was carried out for crystalline LiNbHg at its relaxed geometry.

Values from the calculation:
Uncorrected energy in eV per atom: -3.6020
ΔH_f (0 K) in eV/atom: 0.4931
N(E_F) in states/eV/cell: 10.2
Energy relative to the lowest polymorph listed for this composition in meV/atom: 506
Total magnetic moment in Bohr magnetons per cell: 0.0

abc: 7.572 5.711 4.837
angles: 90.00 90.00 90.00
Atoms (fractional coordinates):
Nb 0.645 0.750 0.000
Nb 0.145 0.750 0.500
Nb 0.355 0.250 0.000
Nb 0.855 0.250 0.500
Hg 0.000 0.500 0.000
Hg 0.000 0.000 0.000
Hg 0.500 0.000 0.500
Hg 0.500 0.500 0.500
Li 0.303 0.750 0.000
Li 0.697 0.250 0.000
Li 0.197 0.250 0.500
Li 0.803 0.750 0.500